BaCa2Tc | PBE-GGA | optimized geometry

- E_form (eV per formula unit) = 2.70
- distance to the lowest polymorph of the same formula (meV/atom) = 156
- final energy (eV/atom) = -3.397
- space-group type = No. 166

Cell: 11.6400 11.6400 11.6400 Å, 18.09 18.09 18.09°
Each line ends with the local moment (μB).
Sites, in units of the cell vectors:
Ca: 0.9771 0.9771 0.9771  0.01
Ca: 0.5229 0.5229 0.5229  0.01
Ba: 0.7500 0.7500 0.7500  0.16
Tc: 0.2500 0.2500 0.2500  0.69